Entry 1:
# SrTlCo (PBE, optimized geometry)
# * DFT total energy: -3.388 eV per atom
# * E_form: 329 meV/atom
# * total magnetic moment: 0.0 μB/cell
# * mass density: 7.50 g/cm3
# * symmetry: F-43m
data_SrTlCo
_chemical_formula_sum 'Sr1 Tl1 Co1'
_symmetry_space_group_name_H-M 'P 1'
_symmetry_Int_Tables_number 1
_cell_length_a 4.789
_cell_length_b 4.789
_cell_length_c 4.789
_cell_angle_alpha 60.00
_cell_angle_beta 60.00
_cell_angle_gamma 60.00
loop_
_symmetry_equiv_pos_as_xyz
'x,y,z'
loop_
_atom_site_label
_atom_site_type_symbol
_atom_site_fract_x
_atom_site_fract_y
_atom_site_fract_z
Co1 Co 0.750 0.750 0.750
Sr1 Sr 0.000 0.000 0.000
Tl1 Tl 0.500 0.500 0.500

=====

Entry 2:
# ThSi2Ge (PBE, optimized geometry)
# * DFT total energy: -6.046 eV per atom
# * energy relative to the elements, uncorrected: -0.325 eV per atom
# * total magnetic moment: 0.0 μB/cell
# * mass density: 7.51 g/cm3
# * symmetry: P4/mmm
data_ThSi2Ge
_chemical_formula_sum 'Th1 Si2 Ge1'
_symmetry_space_group_name_H-M 'P 1'
_symmetry_Int_Tables_number 1
_cell_length_a 4.279
_cell_length_b 4.318
_cell_length_c 4.318
_cell_angle_alpha 90.00
_cell_angle_beta 90.00
_cell_angle_gamma 90.00
loop_
_symmetry_equiv_pos_as_xyz
'x,y,z'
loop_
_atom_site_label
_atom_site_type_symbol
_atom_site_fract_x
_atom_site_fract_y
_atom_site_fract_z
Ge1 Ge 0.500 0.000 0.000
Si1 Si 0.000 0.000 0.500
Si2 Si 0.000 0.500 0.000
Th1 Th 0.500 0.500 0.500

=====

- Which of these has the highest mass density?
  ThSi2Ge

=====

- Look up the total magnetic moment of the second one.
  0.0 μB/cell

=====

- Which value of mass density does entry 2 give?
  7.51 g/cm3